DFT (GGA+U) results for Co3O2F4 after structural relaxation.

Cell lengths 4.6507, 5.5770, 7.6249 Å; angles 93.58, 90.14, 89.60 degrees
Sites, in units of the cell vectors:
Co 0.4714 0.6758 0.1780
Co 0.5000 0.0000 0.5000
Co 0.0000 0.5000 0.5000
Co 0.5286 0.3242 0.8220
Co 0.9981 0.1549 0.1414
Co 0.0019 0.8451 0.8586
F 0.2110 0.5260 0.7413
F 0.7890 0.4740 0.2587
F 0.2889 0.0231 0.7234
F 0.7988 0.7858 0.6220
F 0.2012 0.2142 0.3780
F 0.3113 0.3594 0.0503
F 0.7111 0.9769 0.2766
F 0.6887 0.6406 0.9497
O 0.2057 0.8589 0.0767
O 0.3169 0.7262 0.4044
O 0.7943 0.1411 0.9233
O 0.6831 0.2738 0.5956

Output
Raw total energy (eV/atom): -5.189
Size of the total moment (μB/atom): 0.893
Space-group type: P-1